Version 1
An optimized crystal structure of Sm6Er2Tl. Source: Alexandria, functional PBE.

Structure (extended XYZ):
```
18
Lattice="4.940 0.000 0.253 0.000 10.761 0.000 -0.550 0.000 10.747" Properties=species:S:1:pos:R:3 pbc="T T T"
Sm -0.091 10.743 1.779
Sm 4.665 7.162 5.608
Sm 4.476 7.099 9.284
Sm 2.108 1.718 7.216
Sm 2.470 1.782 0.145
Sm 2.286 5.362 3.720
Sm 4.481 0.019 9.220
Sm -0.276 3.599 5.392
Sm -0.086 3.663 1.716
Sm 2.281 9.044 3.784
Sm 1.920 8.980 10.855
Sm 2.104 5.399 7.279
Er -0.459 3.624 8.993
Er 2.103 9.005 7.253
Er 2.286 1.756 3.746
Er 4.848 7.137 2.006
Tl 2.470 5.381 0.126
Tl -0.275 0.000 5.373
```

=====

Version 2
An optimized crystal structure of Sm6Er2Tl. Source: Alexandria, functional PBE.

Structure (extended XYZ):
```
18
Lattice="6.184 -1.020 0.114 -1.790 9.090 6.143 -3.097 1.757 11.330" Properties=species:S:1:pos:R:3 pbc="T T T"
Sm 1.701 4.658 10.177
Sm 2.579 2.865 7.306
Sm -0.402 5.169 7.411
Sm -1.282 6.965 10.279
Sm 2.202 8.166 10.402
Sm 1.783 4.996 4.626
Sm -0.906 1.662 7.185
Sm -0.487 4.833 12.959
Sm -4.230 9.004 15.967
Sm 0.176 8.682 7.543
Sm 5.526 0.822 1.620
Sm 1.123 1.146 10.042
Er 0.073 8.407 13.220
Er 4.601 2.637 4.522
Er 1.224 1.421 4.366
Er -3.304 7.191 13.065
Tl -1.723 3.418 10.052
Tl 3.020 6.410 7.534
```

=====

Short version: version 2 is the most stable of them.

=====

Version 1
An optimized crystal structure of Sm5Er4Tl. Source: Alexandria, functional PBE.

Structure (extended XYZ):
```
10
Lattice="-2.780 2.257 -2.045 -2.906 -1.138 2.695 4.101 14.677 10.620" Properties=species:S:1:pos:R:3 pbc="T T T"
Sm -2.467 1.907 1.300
Sm -1.626 4.916 3.477
Sm -0.793 7.898 5.635
Sm 0.040 10.880 7.793
Sm 0.881 13.888 9.970
Er 0.810 2.900 2.098
Er 1.631 5.839 4.225
Er 2.469 8.837 6.395
Er 3.290 11.777 8.522
Tl 0.000 0.000 0.000
```

=====

Version 2
An optimized crystal structure of Sm5Er4Tl. Source: Alexandria, functional PBE.

Structure (extended XYZ):
```
10
Lattice="6.212 0.000 0.000 3.106 7.329 0.000 3.106 0.000 7.329" Properties=species:S:1:pos:R:3 pbc="T T T"
Sm 9.099 2.792 6.694
Sm 5.993 6.694 4.537
Sm 5.993 0.635 2.792
Sm 2.887 4.537 0.635
Sm 3.978 0.000 0.000
Er 5.963 2.934 5.096
Er 9.069 5.096 4.395
Er 2.857 2.233 2.934
Er 5.963 4.395 2.233
Tl 1.066 0.000 0.000
```

=====

Short version: version 1 is the most stable of them.

=====

Version 1
An optimized crystal structure of Sm2Er2Tl3. Source: Alexandria, functional PBE.

Structure (extended XYZ):
```
7
Lattice="-1.428 -0.283 3.497 5.240 -6.553 1.605 3.218 4.331 3.711" Properties=species:S:1:pos:R:3 pbc="T T T"
Sm 5.317 -3.159 6.014
Sm 1.714 0.655 2.799
Er 3.469 1.759 5.656
Er 3.562 -4.263 3.157
Tl 0.000 0.000 0.000
Tl 2.112 -1.964 4.802
Tl 4.918 -0.540 4.011
```

=====

Version 2
An optimized crystal structure of Sm2Er2Tl3. Source: Alexandria, functional PBE.

Structure (extended XYZ):
```
7
Lattice="3.491 0.000 0.463 0.000 3.587 0.000 -0.379 0.000 16.242" Properties=species:S:1:pos:R:3 pbc="T T T"
Sm 1.661 1.793 14.251
Sm 1.451 1.793 2.455
Er 2.228 1.793 9.984
Er 0.884 1.793 6.721
Tl 2.901 3.587 4.908
Tl 0.000 0.000 0.000
Tl 0.211 0.000 11.798
```

=====

Short version: version 1 is the most stable of them.

=====

Version 1
An optimized crystal structure of Sm8ErTl2. Source: Alexandria, functional PBE.

Structure (extended XYZ):
```
11
Lattice="-0.862 3.399 4.560 -3.775 -7.685 2.594 8.867 0.465 -1.091" Properties=species:S:1:pos:R:3 pbc="T T T"
Sm 1.856 -3.646 5.628
Sm 4.702 -1.811 4.798
Sm 2.784 -3.304 2.244
Sm -1.454 -4.212 4.072
Sm 5.685 0.391 1.991
Sm 1.446 -0.517 3.818
Sm -0.471 -2.010 1.265
Sm 2.375 -0.175 0.435
Er -0.431 1.699 2.280
Tl 5.000 -2.028 0.036
Tl 0.092 -5.192 1.467
```

=====

Version 2
An optimized crystal structure of Sm8ErTl2. Source: Alexandria, functional PBE.

Structure (extended XYZ):
```
11
Lattice="4.915 0.000 -1.587 -1.134 7.450 -3.513 0.214 0.795 9.067" Properties=species:S:1:pos:R:3 pbc="T T T"
Sm 2.463 3.610 -0.778
Sm 1.620 0.901 5.018
Sm 0.542 1.747 1.678
Sm -0.559 5.580 -1.733
Sm 3.453 6.499 2.289
Sm 2.375 7.345 -1.050
Sm 1.532 4.636 4.745
Sm 4.555 2.665 5.700
Er 2.458 0.000 -0.794
Tl 0.463 5.130 1.435
Tl 3.532 3.116 2.532
```

=====

Short version: version 2 is the most stable of them.

=====

Version 1
An optimized crystal structure of Sm3Er4Tl. Source: Alexandria, functional PBE.

Structure (extended XYZ):
```
8
Lattice="4.113 0.000 0.000 0.000 4.113 0.000 0.000 0.000 14.520" Properties=species:S:1:pos:R:3 pbc="T T T"
Tl 2.057 2.057 0.000
Sm 2.057 2.057 3.596
Sm 2.057 2.057 7.260
Sm 2.057 2.057 10.924
Er 0.000 0.000 12.900
Er 0.000 0.000 1.621
Er 0.000 0.000 5.346
Er 0.000 0.000 9.174
```

=====

Version 2
An optimized crystal structure of Sm3Er4Tl. Source: Alexandria, functional PBE.

Structure (extended XYZ):
```
16
Lattice="-4.709 2.481 -3.173 1.820 -3.790 -5.664 -6.694 -8.330 3.423" Properties=species:S:1:pos:R:3 pbc="T T T"
Sm -1.799 -0.833 -5.546
Sm -5.055 -1.892 -5.769
Sm -3.295 -2.469 -2.781
Sm -3.260 -5.261 -0.787
Sm -6.469 -6.419 -1.157
Sm -8.575 -6.272 -3.969
Er 0.823 -2.926 -5.512
Er -2.805 1.115 -2.772
Er -6.044 -0.018 -3.011
Er -2.442 -4.271 -5.630
Er -2.443 -7.110 -3.688
Er -6.264 -2.967 -1.078
Er -5.664 -8.281 -3.982
Er -9.516 -4.338 -1.235
Tl -0.065 -0.991 -2.538
Tl -5.264 -4.962 -3.976
```

=====

Short version: version 2 is the most stable of them.

=====

Version 1
An optimized crystal structure of Sm3Er2Tl2. Source: Alexandria, functional PBE.

Structure (extended XYZ):
```
7
Lattice="4.983 0.000 0.661 0.000 3.549 0.000 0.939 0.000 12.024" Properties=species:S:1:pos:R:3 pbc="T T T"
Sm 4.528 0.000 4.089
Sm 0.000 0.000 0.000
Sm 1.394 0.000 8.596
Er 4.093 1.774 7.360
Er 1.828 1.774 5.325
Tl 3.657 1.774 10.647
Tl 2.265 1.774 2.039
```

=====

Version 2
An optimized crystal structure of Sm3Er2Tl2. Source: Alexandria, functional PBE.

Structure (extended XYZ):
```
7
Lattice="5.468 0.000 0.000 -2.734 4.718 -0.294 0.000 -2.660 8.255" Properties=species:S:1:pos:R:3 pbc="T T T"
Sm 2.734 0.000 0.000
Sm 2.734 0.228 3.783
Sm 0.000 1.831 4.177
Er 2.734 3.279 2.058
Er 0.000 -1.221 5.903
Tl 2.734 0.418 6.913
Tl 0.000 1.640 1.048
```

=====

Short version: version 2 is the most stable of them.